# 1
The following is a GGA-PBE calculation of a geometry-optimized CuCBrN2 structure, from Alexandria via LeMat-Bulk.

For the magnetization, the calculation gives 0.591 μB per atom. The energy above the most stable polymorph in this dataset comes out at 0 meV per atom. The raw formation energy comes out at 2.51 eV/atom.

It has space group P4/mmm (No. 123), with a = 3.729 Å, b = 3.729 Å, c = 4.961 Å, α = 90.00°, β = 90.00° and γ = 90.00°. Symmetry generates all atoms from Cu at (0.000, 0.000, 0.000), C at (0.000, 0.000, 0.500), Br at (0.500, 0.500, 0.500) and N at (0.000, 0.500, 0.000).

# 2
The following is a GGA-PBE calculation of a geometry-optimized Pm4CuCBr2 structure, from Alexandria via LeMat-Bulk.

For the magnetization, the calculation gives 0.000 μB per atom. The raw formation energy comes out at -0.72 eV/atom.

It has space group P2/m (No. 10), with a = 7.093 Å, b = 3.904 Å, c = 7.641 Å, α = 90.00°, β = 106.86° and γ = 90.00°. Symmetry generates all atoms from Pm at (0.204, 0.000, 0.189), Pm at (0.242, 0.500, 0.801), Cu at (0.500, 0.000, 0.000), C at (0.000, 0.500, 0.000), Br at (0.000, 0.000, 0.500) and Br at (0.500, 0.500, 0.500).